The following is a DFT calculation (PBEsol) of a relaxed structure of NbB3Rh.

Cell: 3.9194 3.9194 3.9194 Å, 90.00 90.00 90.00°
Element x y z (fractional)
1 Nb 0.5000 0.5000 0.5000
2 B 0.0000 0.5000 0.0000
3 B 0.0000 0.0000 0.5000
4 B 0.5000 0.0000 0.0000
5 Rh 0.0000 0.0000 0.0000

Values from the calculation:
- ΔE_f: 1.011 eV per atom
- Energy: -34.95 eV for the cell shown
- M_tot: 0.00 Bohr magnetons per cell



The following is a DFT calculation (PBEsol) of a relaxed structure of Sr2AgAu2.

Cell: 4.2190 7.8388 7.8388 Å, 90.00 90.00 90.00°
Element x y z (fractional)
1 Sr 0.5000 0.1746 0.6746
2 Sr 0.5000 0.6746 0.8254
3 Sr 0.5000 0.8254 0.3254
4 Sr 0.5000 0.3254 0.1746
5 Au 0.0000 0.3726 0.8726
6 Au 0.0000 0.8726 0.6274
7 Au 0.0000 0.6274 0.1274
8 Au 0.0000 0.1274 0.3726
9 Ag 0.0000 0.0000 0.0000
10 Ag 0.0000 0.5000 0.5000

Values from the calculation:
- ΔE_f: -0.547 eV per atom
- Energy: -35.15 eV for the cell shown
- M_tot: 0.00 Bohr magnetons per cell



The following is a DFT calculation (PBEsol) of a relaxed structure of DyCdAg2.

Cell: 4.8318 4.8318 4.8318 Å, 60.00 60.00 60.00°
Element x y z (fractional)
1 Dy 0.5000 0.5000 0.5000
2 Ag 0.2500 0.2500 0.2500
3 Ag 0.7500 0.7500 0.7500
4 Cd 0.0000 0.0000 0.0000

Values from the calculation:
- ΔE_f: -0.304 eV per atom
- Energy: -14.01 eV for the cell shown
- M_tot: 0.00 Bohr magnetons per cell



The following is a DFT calculation (PBEsol) of a relaxed structure of SmFeSi.

Cell: 3.9957 3.9957 6.6857 Å, 90.00 90.00 90.00°
Element x y z (fractional)
1 Si 0.0000 0.5000 0.8303
2 Si 0.5000 0.0000 0.1697
3 Fe 0.0000 0.0000 0.0000
4 Fe 0.5000 0.5000 0.0000
5 Sm 0.0000 0.5000 0.3168
6 Sm 0.5000 0.0000 0.6832

Values from the calculation:
- Energy: -43.55 eV for the cell shown
- E_form (uncorrected): -1.97 eV/f.u.
- M_tot: 0.00 Bohr magnetons per cell



Which value of energy does entry 3 give?
-14.01 eV for the cell shown



energy of number 4 (SmFeSi)?
-43.55 eV for the cell shown